Ac2Sm6In, optimized geometry, DFT PBE; crystal system = monoclinic; formation energy from the elements = -0.5 kJ/mol of atoms
1.0
-2.1390 -0.3838 -3.0079
8.7968 0.4114 -6.3080
-2.6083 -7.9297 5.1467
Sm Ac In
6 2 1
Cartesian
5.1756 -4.9876 -5.3350 Sm
1.2654 -0.0827 -3.1783 Sm
5.3923 0.1103 -6.1376 Sm
1.6414 -2.7850 -0.8188 Sm
2.4081 -5.1170 -3.3505 Sm
-1.1261 -2.9145 1.1657 Sm
4.6031 -2.0062 -3.0127 Ac
-0.5536 -5.8959 -1.1565 Ac
0.0000 0.0000 0.0000 In